1.
VASP calculation (PBE) on a geometry-optimized AgHg2Ge2 structure.

The total energy is -2.217 eV per atom. As for the polymorph energy (0 for the lowest one): 0.0966 eV/atom.

The structure belongs to space group P4/mbm (No. 127); the cell edges are 7.842, 7.842 and 3.686 Å and the angles 90.00°, 90.00° and 90.00°. The asymmetric unit holds Ag at (0.000, 0.000, 0.000), Hg at (0.175, 0.325, 0.000) and Ge at (0.124, 0.624, 0.500).

2.
VASP calculation (PBE) on a geometry-optimized Ag2Hg2Ge structure.

The total energy is -1.966 eV per atom. As for the polymorph energy (0 for the lowest one): 0.0000 eV/atom.

The structure belongs to space group P4/mbm (No. 127); the cell edges are 8.322, 8.322 and 3.101 Å and the angles 90.00°, 90.00° and 90.00°. The asymmetric unit holds Ag at (0.124, 0.376, 0.000), Hg at (0.174, 0.674, 0.500) and Ge at (0.000, 0.000, 0.500).

3.
VASP calculation (PBE) on a geometry-optimized AgHg2Ge2 structure.

The total energy is -2.276 eV per atom. As for the polymorph energy (0 for the lowest one): 0.0382 eV/atom.

The structure belongs to space group I4/mmm (No. 139); the cell edges are 3.680, 3.680 and 16.641 Å and the angles 90.00°, 90.00° and 90.00°. The asymmetric unit holds Ag at (0.000, 0.000, 0.000), Hg at (0.000, 0.000, 0.405) and Ge at (0.000, 0.500, 0.250).

4.
VASP calculation (PBE) on a geometry-optimized AgHgGe structure.

The total energy is -2.386 eV per atom. As for the polymorph energy (0 for the lowest one): 0.0000 eV/atom.

The structure belongs to space group F-43m (No. 216); the cell edges are 6.468, 6.468 and 6.468 Å and the angles 90.00°, 90.00° and 90.00°. The asymmetric unit holds Ag at (0.000, 0.000, 0.000), Hg at (0.000, 0.000, 0.500) and Ge at (0.250, 0.250, 0.750).

5.
VASP calculation (PBE) on a geometry-optimized AgHg2Ge structure.

The total energy is -1.802 eV per atom.

The structure belongs to space group P4/mmm (No. 123); the cell edges are 4.457, 4.457 and 4.309 Å and the angles 90.00°, 90.00° and 90.00°. The asymmetric unit holds Ag at (0.000, 0.000, 0.000), Hg at (0.000, 0.500, 0.500) and Ge at (0.500, 0.500, 0.000).

6.
VASP calculation (PBE) on a geometry-optimized InAgHgGe structure.

The total energy is -2.399 eV per atom.

The structure belongs to space group F-43m (No. 216); the cell edges are 7.061, 7.061 and 7.061 Å and the angles 90.00°, 90.00° and 90.00°. The asymmetric unit holds In at (0.000, 0.000, 0.000), Ag at (0.250, 0.250, 0.250), Hg at (0.000, 0.000, 0.500) and Ge at (0.250, 0.250, 0.750).

7.
VASP calculation (PBE) on a geometry-optimized KAgHgGe2 structure.

The total energy is -1.346 eV per atom.

The structure belongs to space group P4/mmm (No. 123); the cell edges are 5.743, 5.743 and 5.497 Å and the angles 90.00°, 90.00° and 90.00°. The asymmetric unit holds K at (0.000, 0.000, 0.000), Ag at (0.000, 0.000, 0.500), Hg at (0.500, 0.500, 0.500) and Ge at (0.000, 0.500, 0.000).

8.
VASP calculation (PBE) on a geometry-optimized KAgHg2Ge structure.

The total energy is -1.811 eV per atom. As for the polymorph energy (0 for the lowest one): 0.0000 eV/atom.

The structure belongs to space group P4/mmm (No. 123); the cell edges are 5.619, 5.619 and 5.006 Å and the angles 90.00°, 90.00° and 90.00°. The asymmetric unit holds K at (0.000, 0.000, 0.000), Ag at (0.500, 0.500, 0.000), Hg at (0.000, 0.500, 0.500) and Ge at (0.500, 0.500, 0.500).

Q: Number 8 is which compound?
A: KAgHg2Ge